(1)
This record from the Alexandria database describes crystalline Tb6Pm3PrTh2 at its relaxed geometry. The functional is PBE.

POSCAR file:
```
Tb6Pm3PrTh2
1.0
3.128 -5.415 0.000
3.128 5.415 0.000
-2.087 0.000 11.644
Tb Pm Pr Th
6 3 1 2
Direct
0.079 0.418 0.754
0.244 0.244 0.246
0.418 0.079 0.754
0.582 0.921 0.246
0.756 0.756 0.754
0.921 0.582 0.246
0.000 0.000 0.500
0.334 0.666 0.500
0.666 0.334 0.500
0.500 0.500 0.000
0.167 0.833 0.000
0.833 0.167 0.000
```

## Properties
**Formation energy from the elements**: 0.03 eV per atom
**Total moment**: 0.0000 μB per atom
**Total energy**: -61.3 eV per cell
**Crystal system**: monoclinic


(2)
This record from the Alexandria database describes crystalline Tb2Pm6PrTh at its relaxed geometry. The functional is PBE.

POSCAR file:
```
Tb2Pm6PrTh
1.0
4.667 -7.528 0.000
4.667 7.528 0.000
-1.466 0.000 9.753
Tb Pm Pr Th
4 12 2 2
Direct
0.195 0.286 0.049
0.286 0.195 0.549
0.714 0.805 0.451
0.805 0.714 0.951
0.020 0.578 0.183
0.108 0.756 0.558
0.244 0.892 0.942
0.299 0.510 0.380
0.422 0.980 0.317
0.490 0.701 0.120
0.510 0.299 0.880
0.578 0.020 0.683
0.701 0.490 0.620
0.756 0.108 0.058
0.892 0.244 0.442
0.980 0.422 0.817
0.403 0.597 0.750
0.597 0.403 0.250
0.028 0.972 0.250
0.972 0.028 0.750
```

## Properties
**Formation energy from the elements**: 0.14 eV per atom
**Total moment**: 0.0000 μB per atom
**Total energy**: -97.0 eV per cell
**Crystal system**: monoclinic


(3)
This record from the Alexandria database describes crystalline TbPmPrTh at its relaxed geometry. The functional is PBE.

POSCAR file:
```
TbPmPrTh
1.0
3.616 0.000 0.000
0.000 3.616 0.000
0.000 0.000 10.323
Tb Pm Pr Th
1 1 1 1
Direct
0.000 0.000 0.000
0.000 0.000 0.475
0.500 0.500 0.741
0.500 0.500 0.235
```

## Properties
**Formation energy from the elements**: 0.02 eV per atom
**Total moment**: 0.0000 μB per atom
**Total energy**: -21.5 eV per cell
**Crystal system**: tetragonal
**Energy above the lowest structure with this stoichiometry**: 0 meV per atom